1.
A plane-wave DFT calculation with PBE was carried out for crystalline NaPrTcN3 at its relaxed geometry.

Results
Space group: C2/m, No. 12
Volume: 14.49 A^3/atom
Raw total energy: -7.325 eV/atom

abc: 3.941 6.780 7.089
angles: 105.71 90.00 106.90
Fractional coordinates of all 12 atoms:
Na  0.338  0.676  0.924
Na  0.662  0.324  0.076
Pr  0.647  0.295  0.565
Pr  0.353  0.705  0.435
Tc  0.002  0.003  0.204
Tc  0.998  0.997  0.796
N  0.859  0.719  0.196
N  0.842  0.683  0.641
N  0.509  0.018  0.218
N  0.158  0.317  0.359
N  0.491  0.982  0.782
N  0.141  0.281  0.804



2.
A plane-wave DFT calculation with PBE was carried out for crystalline Na2PrTcN4 at its relaxed geometry.

Results
Space group: I-42m, No. 121
Volume: 15.23 A^3/atom
Raw total energy: -6.782 eV/atom

abc: 6.159 5.411 5.411
angles: 72.82 55.31 55.31
Fractional coordinates of all 8 atoms:
Na  0.500  0.750  0.250
Na  0.500  0.250  0.750
Pr  0.000  0.000  0.000
Tc  0.000  0.500  0.500
N  0.668  0.492  0.840
N  0.332  0.160  0.508
N  0.000  0.508  0.160
N  0.000  0.840  0.492



3.
A plane-wave DFT calculation with PBE was carried out for crystalline Na2Pr4Te3N2 at its relaxed geometry.

Results
Space group: I4/mmm, No. 139
Volume: 28.12 A^3/atom
Raw total energy: -5.411 eV/atom

abc: 4.950 4.950 13.099
angles: 100.89 100.89 90.00
Fractional coordinates of all 11 atoms:
Na  0.303  0.303  0.606
Na  0.697  0.697  0.394
Pr  0.412  0.912  0.823
Pr  0.912  0.412  0.823
Pr  0.088  0.588  0.177
Pr  0.588  0.088  0.177
Te  0.000  0.000  0.000
Te  0.178  0.178  0.355
Te  0.822  0.822  0.645
N  0.402  0.402  0.804
N  0.598  0.598  0.196



4.
A plane-wave DFT calculation with PBE was carried out for crystalline Na3PrU2N6 at its relaxed geometry.

Results
Space group: C2/m, No. 12
Volume: 15.73 A^3/atom
Raw total energy: -7.762 eV/atom

abc: 3.584 7.025 7.892
angles: 102.40 103.12 90.00
Fractional coordinates of all 12 atoms:
Na  0.500  0.500  0.000
Na  0.828  0.164  0.657
Na  0.172  0.836  0.343
Pr  0.500  0.000  0.000
U  0.832  0.667  0.664
U  0.168  0.333  0.336
N  0.335  0.860  0.671
N  0.688  0.549  0.376
N  0.665  0.140  0.329
N  0.032  0.255  0.063
N  0.968  0.745  0.937
N  0.312  0.451  0.624



5.
A plane-wave DFT calculation with PBE was carried out for crystalline Na4PrU3N8 at its relaxed geometry.

Results
Space group: R-3m, No. 166
Volume: 15.45 A^3/atom
Raw total energy: -7.918 eV/atom

abc: 7.088 7.004 7.088
angles: 120.42 120.00 90.00
Last column: magnetic moment on the atom in μB.
Fractional coordinates of all 16 atoms:
Na  0.500  0.000  0.000  0.00
Na  0.500  0.000  0.500  0.00
Na  0.000  0.000  0.000  0.00
Na  0.000  0.000  0.500  0.00
Pr  0.000  0.500  0.000  0.01
U  0.500  0.500  0.000  0.38
U  0.500  0.500  0.500  0.38
U  0.000  0.500  0.500  0.38
N  0.244  0.682  0.938  -0.02
N  0.244  0.681  0.488  -0.02
N  0.271  0.312  0.541  -0.02
N  0.693  0.682  0.938  -0.02
N  0.307  0.318  0.062  -0.02
N  0.729  0.688  0.459  -0.02
N  0.756  0.319  0.512  -0.02
N  0.756  0.318  0.062  -0.02



6.
A plane-wave DFT calculation with PBE was carried out for crystalline NaPt2N at its relaxed geometry.

Results
Space group: I4_1/amd, No. 141
Volume: 20.85 A^3/atom
Raw total energy: -5.318 eV/atom

abc: 5.315 5.315 7.001
angles: 67.69 67.69 90.00
Fractional coordinates of all 8 atoms:
Na  0.000  0.000  0.000
Na  0.750  0.250  0.500
Pt  0.375  0.125  0.250
Pt  0.375  0.625  0.250
Pt  0.375  0.625  0.750
Pt  0.875  0.625  0.750
N  0.500  0.500  0.000
N  0.250  0.750  0.500



7.
A plane-wave DFT calculation with PBE was carried out for crystalline Na3Pt2N at its relaxed geometry.

Results
Space group: C2/c, No. 15
Volume: 20.89 A^3/atom
Raw total energy: -4.151 eV/atom

abc: 5.945 5.945 7.256
angles: 83.59 83.59 97.38
Fractional coordinates of all 12 atoms:
Na  0.363  0.637  0.250
Na  0.637  0.363  0.750
Na  0.129  0.267  0.992
Na  0.733  0.871  0.508
Na  0.871  0.733  0.008
Na  0.267  0.129  0.492
Pt  0.888  0.402  0.384
Pt  0.598  0.112  0.116
Pt  0.402  0.888  0.884
Pt  0.112  0.598  0.616
N  0.631  0.369  0.250
N  0.369  0.631  0.750



8.
A plane-wave DFT calculation with PBE was carried out for crystalline Na2PtN at its relaxed geometry.

Results
Space group: I-42d, No. 122
Volume: 23.90 A^3/atom
Raw total energy: -4.426 eV/atom

abc: 10.032 10.032 7.343
angles: 46.92 46.92 90.00
Fractional coordinates of all 8 atoms:
Na  0.380  0.125  0.250
Na  0.370  0.625  0.250
Na  0.375  0.620  0.750
Na  0.875  0.630  0.750
Pt  0.000  0.000  0.000
Pt  0.750  0.250  0.500
N  0.500  0.500  0.000
N  0.250  0.750  0.500



9.
A plane-wave DFT calculation with PBE was carried out for crystalline NaPtN at its relaxed geometry.

Results
Space group: P6_3mc, No. 186
Volume: 14.52 A^3/atom
E above lowest polymorph: 0.000 eV per atom

abc: 3.070 3.070 10.674
angles: 90.00 90.00 120.00
Fractional coordinates of all 6 atoms:
Na  0.667  0.333  0.754
Na  0.333  0.667  0.254
Pt  0.000  0.000  0.498
Pt  0.000  0.000  0.998
N  0.333  0.667  0.593
N  0.667  0.333  0.093



10.
A plane-wave DFT calculation with PBE was carried out for crystalline NaPtN at its relaxed geometry.

Results
Space group: R3m, No. 160
Volume: 15.87 A^3/atom
E above lowest polymorph: 0.481 eV per atom

abc: 3.800 3.800 3.800
angles: 71.07 71.07 71.07
Fractional coordinates of all 3 atoms:
N  0.799  0.799  0.799
Na  0.513  0.513  0.513
Pt  0.019  0.019  0.019



11.
A plane-wave DFT calculation with PBE was carried out for crystalline Rb2NaPtN at its relaxed geometry.

Results
Space group: P4/mmm, No. 123
Volume: 36.26 A^3/atom
E above lowest polymorph: 0.082 eV per atom

abc: 6.955 6.955 3.747
angles: 90.00 90.00 90.00
Fractional coordinates of all 5 atoms:
Na  0.500  0.500  0.500
Rb  0.000  0.500  0.000
Rb  0.500  0.000  0.000
Pt  0.000  0.000  0.000
N  0.000  0.000  0.500



12.
A plane-wave DFT calculation with PBE was carried out for crystalline Rb2NaPtN at its relaxed geometry.

Results
Space group: P4/mmm, No. 123
Volume: 31.98 A^3/atom
E above lowest polymorph: 0.000 eV per atom

abc: 6.508 6.508 3.776
angles: 90.00 90.00 90.00
Fractional coordinates of all 5 atoms:
Na  0.500  0.500  0.500
Rb  0.000  0.500  0.000
Rb  0.500  0.000  0.000
Pt  0.000  0.000  0.500
N  0.000  0.000  0.000